(1)
Material: Ac2Ag5Pd4
Method: DFT, GGA-PBE
State: optimized geometry

a = 13.007 Å, b = 5.534 Å, c = 8.304 Å
α = 90.00°, β = 122.77°, γ = 90.00°
Space group C2/m (No. 12)
Unique sites:
Ac 0.219 0.000 0.271 [4 per cell]
Ag 0.000 0.500 0.000 [2 per cell]
Ag 0.038 0.250 0.744 [8 per cell]
Pd 0.140 0.000 0.564 [4 per cell]
Pd 0.230 0.500 0.050 [4 per cell]

E in Ry per atom: -0.3125

=====

(2)
Material: AcAgPd
Method: DFT, GGA-PBE
State: optimized geometry

a = 3.990 Å, b = 3.990 Å, c = 9.582 Å
α = 90.00°, β = 90.00°, γ = 90.00°
Space group I4mm (No. 107)
Unique sites:
Ac 0.000 0.000 0.000 [2 per cell]
Ag 0.000 0.000 0.677 [2 per cell]
Pd 0.000 0.000 0.343 [2 per cell]

Offset from the most stable computed form in meV per atom: 184
E in Ry per atom: -0.3280